No. 1
Here is a geometry-optimized TlZnCo2Cl8 structure from the Alexandria database. Energies are from PBE-GGA.

Cell and atoms, written as POSCAR:
```
TlZnCo2Cl8
1.0
3.1337 1.8092 9.2229
-3.1337 1.8092 9.2229
0.0000 -3.6185 9.2229
Tl Zn Co Cl
1 1 2 8
direct
0.0000 0.0000 0.0000
0.5000 0.5000 0.5000
0.2430 0.2430 0.2430
0.7570 0.7570 0.7570
0.1258 0.7691 0.4453
0.2309 0.5547 0.8742
0.3219 0.3219 0.3219
0.4453 0.1258 0.7691
0.5547 0.8742 0.2309
0.6781 0.6781 0.6781
0.7691 0.4453 0.1258
0.8742 0.2309 0.5547
```

Results
total magnetization: 7.00 μB per formula unit
N(E_F): 12.956 states/eV/cell
formation energy without anion corrections: -729 meV/atom

---

No. 2
Here is a geometry-optimized PmSc2Zn3 structure from the Alexandria database. Energies are from PBE-GGA.

Cell and atoms, written as POSCAR:
```
PmSc2Zn3
1.0
3.4438 0.0000 0.0000
0.0000 3.4438 0.0000
0.0000 0.0000 10.4227
Pm Sc Zn
1 2 3
direct
0.0000 0.0000 0.0000
0.0000 0.0000 0.3426
0.0000 0.0000 0.6574
0.5000 0.5000 0.1956
0.5000 0.5000 0.5000
0.5000 0.5000 0.8044
```

Results
formation enthalpy at 0 K: -0.335 eV/atom
total magnetization: 0.00 μB per formula unit
N(E_F): 6.257 states/eV/cell